1.
DFT (PBE) results for a relaxed Y2HgOs2 crystal.

Results
Electronic total energy (eV per cell): -72.065
Size of the total moment (Bohr magnetons per cell): 0.00
Energy above the lowest structure with this stoichiometry (meV per atom): 0

abc: 7.1164 7.1164 4.3327
angles: 90.00 90.00 90.00
Atoms (fractional coordinates):
Y  0.1773  0.3227  0.0000
Y  0.3227  0.8227  0.0000
Y  0.6773  0.1773  0.0000
Y  0.8227  0.6773  0.0000
Hg  0.0000  0.0000  0.5000
Hg  0.5000  0.5000  0.5000
Os  0.1183  0.6183  0.5000
Os  0.3817  0.1183  0.5000
Os  0.6183  0.8817  0.5000
Os  0.8817  0.3817  0.5000

2.
DFT (PBE) results for a relaxed Ba2Zn2InP4 crystal.

Results
Electronic total energy (eV per cell): -35.608
Size of the total moment (Bohr magnetons per cell): 0.00

abc: 8.1188 8.1188 7.1704
angles: 109.74 109.74 29.17
Atoms (fractional coordinates):
Ba  0.1338  0.1338  0.0594
Ba  0.8662  0.8662  0.9406
Zn  0.3237  0.3237  0.5131
Zn  0.6763  0.6763  0.4869
In  0.0000  0.0000  0.5000
P  0.2059  0.2059  0.6870
P  0.4822  0.4822  0.7377
P  0.5178  0.5178  0.2623
P  0.7941  0.7941  0.3130